1.
The following is a DFT calculation (GGA-PBE) of Li2SmZn2In2 after structural relaxation.

The structure in POSCAR format:
```
Li2SmZn2In2
1.0
3.903 -2.283 0.000
3.903 2.283 0.000
-2.786 0.000 8.136
Li Sm Zn In
2 1 2 2
direct
0.144 0.144 0.422
0.856 0.856 0.578
0.000 0.000 0.000
0.445 0.445 0.330
0.555 0.555 0.670
0.255 0.255 0.770
0.745 0.745 0.230
```

Results
V = 20.71 Å³ per atom
SG = No. 12
DOS(E_F) = 4.343 states/eV/cell
Magnetic moment = 0.000 μB per atom
Energy of formation from the pure elements = -268 meV per atom

2.
The following is a DFT calculation (GGA-PBE) of LiSmZrIn after structural relaxation.

The structure in POSCAR format:
```
LiSmZrIn
1.0
0.000 3.634 3.634
3.634 0.000 3.634
3.634 3.634 0.000
Li Sm Zr In
1 1 1 1
direct
0.000 0.000 0.000
0.750 0.750 0.750
0.250 0.250 0.250
0.500 0.500 0.500
```

Results
V = 23.99 Å³ per atom
SG = No. 216
DOS(E_F) = 3.655 states/eV/cell
Magnetic moment = 0.000 μB per atom
Energy of formation from the pure elements = -102 meV per atom

3.
The following is a DFT calculation (GGA-PBE) of Li4In5Sn after structural relaxation.

The structure in POSCAR format:
```
Li4In5Sn
1.0
3.428 0.000 0.000
0.000 3.428 0.000
0.000 0.000 18.148
Li In Sn
4 5 1
direct
0.000 0.000 0.088
0.000 0.000 0.271
0.000 0.000 0.729
0.000 0.000 0.912
0.500 0.500 0.000
0.500 0.500 0.179
0.500 0.500 0.372
0.500 0.500 0.628
0.500 0.500 0.821
0.000 0.000 0.500
```

Results
V = 21.33 Å³ per atom
SG = No. 123
DOS(E_F) = 3.143 states/eV/cell
Magnetic moment = 0.000 μB per atom
Energy of formation from the pure elements = -207 meV per atom

4.
The following is a DFT calculation (GGA-PBE) of Li2In6Sn after structural relaxation.

The structure in POSCAR format:
```
Li2In6Sn
1.0
7.103 -2.261 0.000
7.103 2.261 0.000
-2.422 0.000 6.869
Li In Sn
2 6 1
direct
0.058 0.058 0.324
0.942 0.942 0.676
0.164 0.164 0.998
0.278 0.278 0.659
0.397 0.397 0.342
0.603 0.603 0.658
0.722 0.722 0.341
0.836 0.836 0.002
0.500 0.500 0.000
```

Results
V = 24.52 Å³ per atom
SG = No. 12
DOS(E_F) = 3.379 states/eV/cell
Magnetic moment = 0.000 μB per atom
Energy of formation from the pure elements = -106 meV per atom
Excess energy over the best structure of this formula in the dataset = 0 meV per atom

5.
The following is a DFT calculation (GGA-PBE) of LiIn2Sn2 after structural relaxation.

The structure in POSCAR format:
```
LiIn2Sn2
1.0
2.407 1.390 7.388
-2.407 1.390 7.388
0.000 -2.779 7.388
Li In Sn
1 2 2
direct
0.000 0.000 0.000
0.433 0.433 0.433
0.567 0.567 0.567
0.277 0.277 0.277
0.723 0.723 0.723
```

Results
V = 29.65 Å³ per atom
SG = No. 166
DOS(E_F) = 2.247 states/eV/cell
Magnetic moment = 0.000 μB per atom
Energy of formation from the pure elements = 14 meV per atom
Excess energy over the best structure of this formula in the dataset = 45 meV per atom

6.
The following is a DFT calculation (GGA-PBE) of Li8In3Sn2 after structural relaxation.

The structure in POSCAR format:
```
Li8In3Sn2
1.0
2.737 1.580 10.204
-2.737 1.580 10.204
0.000 -3.161 10.204
Li In Sn
8 3 2
direct
0.225 0.225 0.225
0.229 0.229 0.725
0.229 0.725 0.229
0.275 0.771 0.771
0.725 0.229 0.229
0.771 0.275 0.771
0.771 0.771 0.275
0.775 0.775 0.775
0.316 0.316 0.316
0.500 0.500 0.500
0.684 0.684 0.684
0.138 0.138 0.138
0.862 0.862 0.862
```

Results
V = 20.37 Å³ per atom
SG = No. 166
DOS(E_F) = 4.124 states/eV/cell
Magnetic moment = 0.000 μB per atom
Energy of formation from the pure elements = -175 meV per atom

7.
The following is a DFT calculation (GGA-PBE) of LiIn15Sn4 after structural relaxation.

The structure in POSCAR format:
```
LiIn15Sn4
1.0
4.925 0.000 0.000
0.000 4.925 0.000
0.000 0.000 21.998
Li In Sn
1 15 4
direct
0.000 0.000 0.000
0.000 0.500 0.093
0.000 0.500 0.297
0.000 0.500 0.500
0.000 0.500 0.703
0.000 0.500 0.907
0.500 0.000 0.093
0.500 0.000 0.297
0.500 0.000 0.500
0.500 0.000 0.703
0.500 0.000 0.907
0.500 0.500 0.000
0.500 0.500 0.196
0.500 0.500 0.399
0.500 0.500 0.601
0.500 0.500 0.804
0.000 0.000 0.192
0.000 0.000 0.399
0.000 0.000 0.601
0.000 0.000 0.808
```

Results
V = 26.68 Å³ per atom
SG = No. 123
DOS(E_F) = 8.505 states/eV/cell
Magnetic moment = 0.000 μB per atom
Energy of formation from the pure elements = -7 meV per atom

8.
The following is a DFT calculation (GGA-PBE) of Li2InSn2 after structural relaxation.

The structure in POSCAR format:
```
Li2InSn2
1.0
5.115 0.000 0.000
0.000 4.763 0.000
-0.970 0.000 9.414
Li In Sn
4 2 4
direct
0.180 0.250 0.004
0.279 0.250 0.340
0.721 0.750 0.660
0.820 0.750 0.996
0.355 0.750 0.175
0.645 0.250 0.825
0.185 0.750 0.507
0.263 0.750 0.825
0.737 0.250 0.175
0.815 0.250 0.493
```

Results
V = 22.93 Å³ per atom
SG = No. 11
DOS(E_F) = 3.774 states/eV/cell
Magnetic moment = 0.000 μB per atom
Energy of formation from the pure elements = -213 meV per atom
Excess energy over the best structure of this formula in the dataset = 2 meV per atom

9.
The following is a DFT calculation (GGA-PBE) of Li2InSn2 after structural relaxation.

The structure in POSCAR format:
```
Li2InSn2
1.0
5.293 0.000 0.000
0.044 6.832 0.000
2.645 1.256 6.256
Li In Sn
4 2 4
direct
0.105 0.158 0.093
0.302 0.659 0.088
0.698 0.341 0.912
0.895 0.842 0.907
0.053 0.251 0.500
0.947 0.749 0.500
0.302 0.498 0.725
0.474 0.002 0.726
0.526 0.998 0.274
0.698 0.502 0.275
```

Results
V = 22.62 Å³ per atom
SG = No. 2
DOS(E_F) = 2.194 states/eV/cell
Magnetic moment = 0.000 μB per atom
Energy of formation from the pure elements = -190 meV per atom
Excess energy over the best structure of this formula in the dataset = 25 meV per atom

10.
The following is a DFT calculation (GGA-PBE) of Li3In2Sn3 after structural relaxation.

The structure in POSCAR format:
```
Li3In2Sn3
1.0
-2.207 2.251 9.158
2.207 -2.251 9.158
2.207 2.251 -9.158
Li In Sn
3 2 3
direct
0.000 0.000 0.000
0.380 0.880 0.500
0.620 0.120 0.500
0.248 0.248 0.000
0.752 0.752 0.000
0.118 0.618 0.500
0.500 0.500 0.000
0.882 0.382 0.500
```

Results
V = 22.75 Å³ per atom
SG = No. 71
DOS(E_F) = 2.088 states/eV/cell
Magnetic moment = 0.000 μB per atom
Energy of formation from the pure elements = -221 meV per atom

11.
The following is a DFT calculation (GGA-PBE) of Li3In2Sn2 after structural relaxation.

The structure in POSCAR format:
```
Li3In2Sn2
1.0
7.020 -1.665 0.000
7.020 1.665 0.000
-2.701 0.000 6.699
Li In Sn
3 2 2
direct
0.000 0.000 0.000
0.277 0.277 0.844
0.723 0.723 0.156
0.138 0.138 0.406
0.862 0.862 0.594
0.419 0.419 0.268
0.581 0.581 0.732
```

Results
V = 22.37 Å³ per atom
SG = No. 12
DOS(E_F) = 2.680 states/eV/cell
Magnetic moment = 0.000 μB per atom
Energy of formation from the pure elements = -189 meV per atom
Excess energy over the best structure of this formula in the dataset = 13 meV per atom

12.
The following is a DFT calculation (GGA-PBE) of Li5In8Sn after structural relaxation.

The structure in POSCAR format:
```
Li5In8Sn
1.0
-4.213 4.213 4.525
4.213 -4.213 4.525
4.213 4.213 -4.525
Li In Sn
5 8 1
direct
0.000 0.000 0.000
0.210 0.303 0.665
0.455 0.790 0.093
0.637 0.545 0.335
0.697 0.363 0.907
0.147 0.408 0.044
0.364 0.103 0.956
0.406 0.147 0.402
0.592 0.636 0.739
0.745 0.004 0.598
0.853 0.255 0.259
0.897 0.853 0.261
0.996 0.594 0.741
0.250 0.750 0.500
```

Results
V = 22.95 Å³ per atom
SG = No. 82
DOS(E_F) = 2.846 states/eV/cell
Magnetic moment = 0.000 μB per atom
Energy of formation from the pure elements = -141 meV per atom

13.
The following is a DFT calculation (GGA-PBE) of Li3In8Sn2 after structural relaxation.

The structure in POSCAR format:
```
Li3In8Sn2
1.0
3.031 1.750 10.881
-3.031 1.750 10.881
0.000 -3.500 10.881
Li In Sn
3 8 2
direct
0.000 0.000 0.000
0.189 0.189 0.189
0.811 0.811 0.811
0.218 0.719 0.719
0.276 0.276 0.276
0.281 0.281 0.782
0.281 0.782 0.281
0.719 0.218 0.719
0.719 0.719 0.218
0.724 0.724 0.724
0.782 0.281 0.281
0.367 0.367 0.367
0.633 0.633 0.633
```

Results
V = 26.64 Å³ per atom
SG = No. 166
DOS(E_F) = 5.907 states/eV/cell
Magnetic moment = 0.000 μB per atom
Energy of formation from the pure elements = 3 meV per atom

14.
The following is a DFT calculation (GGA-PBE) of LiInSn2 after structural relaxation.

The structure in POSCAR format:
```
LiInSn2
1.0
2.345 1.354 5.368
-2.345 1.354 5.368
0.000 -2.708 5.368
Li In Sn
1 1 2
direct
0.000 0.000 0.000
0.816 0.816 0.816
0.379 0.379 0.379
0.590 0.590 0.590
```

Results
V = 25.56 Å³ per atom
SG = No. 160
DOS(E_F) = 1.388 states/eV/cell
Magnetic moment = 0.000 μB per atom
Energy of formation from the pure elements = -79 meV per atom

15.
The following is a DFT calculation (GGA-PBE) of LiIn4Sn2 after structural relaxation.

The structure in POSCAR format:
```
LiIn4Sn2
1.0
-2.765 2.765 6.541
2.765 -2.765 6.541
2.765 2.765 -6.541
Li In Sn
1 4 2
direct
0.000 0.000 0.000
0.000 0.500 0.500
0.250 0.750 0.500
0.500 0.000 0.500
0.750 0.250 0.500
0.367 0.367 0.000
0.633 0.633 0.000
```

Results
V = 28.59 Å³ per atom
SG = No. 139
DOS(E_F) = 2.964 states/eV/cell
Magnetic moment = 0.000 μB per atom
Energy of formation from the pure elements = 90 meV per atom

16.
The following is a DFT calculation (GGA-PBE) of Li2In3Sn after structural relaxation.

The structure in POSCAR format:
```
Li2In3Sn
1.0
0.000 5.491 8.221
3.179 0.000 8.221
3.179 5.491 0.000
Li In Sn
4 6 2
direct
0.240 0.760 0.760
0.250 0.250 0.250
0.750 0.750 0.750
0.760 0.240 0.240
0.147 0.675 0.325
0.175 0.175 0.825
0.325 0.853 0.147
0.675 0.147 0.853
0.825 0.825 0.175
0.853 0.325 0.675
0.352 0.352 0.648
0.648 0.648 0.352
```

Results
V = 23.92 Å³ per atom
SG = No. 69
DOS(E_F) = 4.541 states/eV/cell
Magnetic moment = 0.000 μB per atom
Energy of formation from the pure elements = -136 meV per atom
Excess energy over the best structure of this formula in the dataset = 0 meV per atom

17.
The following is a DFT calculation (GGA-PBE) of Li3In2Sn2 after structural relaxation.

The structure in POSCAR format:
```
Li3In2Sn2
1.0
-1.603 2.384 10.389
1.603 -2.384 10.389
1.603 2.384 -10.389
Li In Sn
3 2 2
direct
0.000 0.000 0.000
0.297 0.797 0.500
0.703 0.203 0.500
0.428 0.428 0.000
0.572 0.572 0.000
0.158 0.658 0.500
0.842 0.342 0.500
```

Results
V = 22.69 Å³ per atom
SG = No. 71
DOS(E_F) = 2.377 states/eV/cell
Magnetic moment = 0.000 μB per atom
Energy of formation from the pure elements = -202 meV per atom
Excess energy over the best structure of this formula in the dataset = 0 meV per atom

18.
The following is a DFT calculation (GGA-PBE) of Li2InSn after structural relaxation.

The structure in POSCAR format:
```
Li2InSn
1.0
-3.869 3.869 3.059
3.869 -3.869 3.059
3.869 3.869 -3.059
Li In Sn
4 2 2
direct
0.124 0.125 0.499
0.375 0.876 0.001
0.626 0.625 0.501
0.875 0.374 0.999
0.250 0.750 0.500
0.500 0.500 0.000
0.000 0.000 0.000
0.750 0.250 0.500
```

Results
V = 22.90 Å³ per atom
SG = No. 122
DOS(E_F) = 3.634 states/eV/cell
Magnetic moment = 0.000 μB per atom
Energy of formation from the pure elements = -60 meV per atom
Excess energy over the best structure of this formula in the dataset = 255 meV per atom

19.
The following is a DFT calculation (GGA-PBE) of Li2InSn4 after structural relaxation.

The structure in POSCAR format:
```
Li2InSn4
1.0
5.498 -4.837 0.000
5.498 4.837 0.000
0.000 0.000 6.533
Li In Sn
4 2 8
direct
0.223 0.223 0.000
0.277 0.277 0.500
0.723 0.723 0.500
0.777 0.777 0.000
0.000 0.000 0.500
0.500 0.500 0.000
0.000 0.500 0.250
0.000 0.500 0.750
0.172 0.828 0.999
0.328 0.672 0.499
0.500 0.000 0.250
0.500 0.000 0.750
0.672 0.328 0.501
0.828 0.172 0.001
```

Results
V = 24.82 Å³ per atom
SG = No. 64
DOS(E_F) = 5.284 states/eV/cell
Magnetic moment = 0.000 μB per atom
Energy of formation from the pure elements = -85 meV per atom

20.
The following is a DFT calculation (GGA-PBE) of LiIn16Sn12 after structural relaxation.

The structure in POSCAR format:
```
LiIn16Sn12
1.0
5.844 -8.421 0.000
5.844 8.421 0.000
-5.163 0.000 8.185
Li In Sn
1 16 12
direct
0.000 0.000 0.000
0.036 0.036 0.640
0.078 0.371 0.272
0.087 0.661 0.974
0.261 0.261 0.537
0.271 0.952 0.882
0.344 0.677 0.294
0.371 0.078 0.272
0.373 0.682 0.693
0.398 0.985 0.580
0.661 0.087 0.974
0.677 0.344 0.294
0.682 0.373 0.693
0.683 0.683 0.285
0.697 0.697 0.931
0.952 0.271 0.882
0.985 0.398 0.580
0.055 0.870 0.270
0.074 0.688 0.481
0.276 0.469 0.881
0.296 0.296 0.103
0.469 0.276 0.881
0.484 0.834 0.091
0.503 0.503 0.480
0.688 0.074 0.481
0.697 0.887 0.682
0.834 0.484 0.091
0.870 0.055 0.270
0.887 0.697 0.682
```

Results
V = 27.78 Å³ per atom
SG = No. 8
DOS(E_F) = 9.813 states/eV/cell
Magnetic moment = 0.000 μB per atom
Energy of formation from the pure elements = 19 meV per atom

21.
The following is a DFT calculation (GGA-PBE) of Li2InSn2 after structural relaxation.

The structure in POSCAR format:
```
Li2InSn2
1.0
-2.142 2.142 6.463
2.142 -2.142 6.463
2.142 2.142 -6.463
Li In Sn
2 1 2
direct
0.250 0.750 0.500
0.750 0.250 0.500
0.000 0.000 0.000
0.393 0.393 0.000
0.607 0.607 0.000
```

Results
V = 23.73 Å³ per atom
SG = No. 139
DOS(E_F) = 1.561 states/eV/cell
Magnetic moment = 0.000 μB per atom
Energy of formation from the pure elements = -109 meV per atom
Excess energy over the best structure of this formula in the dataset = 106 meV per atom

22.
The following is a DFT calculation (GGA-PBE) of Li2InSn after structural relaxation.

The structure in POSCAR format:
```
Li2InSn
1.0
4.399 0.000 0.000
0.000 4.399 0.000
0.000 0.000 4.230
Li In Sn
2 1 1
direct
0.000 0.500 0.000
0.500 0.000 0.000
0.000 0.000 0.500
0.500 0.500 0.500
```

Results
V = 20.47 Å³ per atom
SG = No. 123
DOS(E_F) = 1.100 states/eV/cell
Magnetic moment = 0.000 μB per atom
Energy of formation from the pure elements = -298 meV per atom
Excess energy over the best structure of this formula in the dataset = 17 meV per atom